[1]
Np2BeSi4Ni3 PBE relaxed; DOS(E_F) = 18.9 states/eV/f.u.; space group = P-4m2 (115); total moment = 7.0 μB per cell; uncorrected formation energy = -4.8 eV/f.u.
1.0
3.950 0.000 0.000
0.000 3.950 0.000
0.000 0.000 9.462
Np Be Si Ni
2 1 4 3
Cartesian
1.975 0.000 2.397
0.000 1.975 7.065
1.975 1.975 4.731
1.975 1.975 0.000
0.000 0.000 0.000
1.975 0.000 5.982
0.000 1.975 3.480
0.000 0.000 4.731
1.975 0.000 8.280
0.000 1.975 1.182

***

[2]
Np2Be4Si3Ni PBE relaxed; DOS(E_F) = 12.8 states/eV/f.u.; space group = P-4m2 (115); total moment = 7.7 μB per cell; uncorrected formation energy = -2.3 eV/f.u.
1.0
3.803 0.000 0.000
0.000 3.803 0.000
0.000 0.000 9.546
Np Be Si Ni
2 4 3 1
Cartesian
1.901 0.000 2.402
0.000 1.901 7.144
1.901 1.901 0.000
0.000 0.000 0.000
1.901 0.000 5.989
0.000 1.901 3.557
0.000 0.000 4.773
1.901 0.000 8.253
0.000 1.901 1.292
1.901 1.901 4.773